BeTlBr2 | PBE | optimized geometry

Cell lengths 3.774, 3.297, 10.351 Å; angles 90.00, 100.05, 90.00 degrees
Sites, in units of the cell vectors:
Be 0.000 0.000 0.000
Tl 0.000 0.000 0.500
Br 0.060 0.500 0.853
Br 0.940 0.500 0.147

Values from the calculation:
* E_form (uncorrected): -1.38 eV/f.u.
* space-group type: No. 10
* energy above the lowest structure with this stoichiometry: 128.9 meV per atom
* calculated density: 4.89 g/cm3